PmZn2Cl6 after structural relaxation, computed with PBE.

a b c (Å): 13.4658 3.7348 10.9743
angles (deg): 90.00 98.86 90.00
Space group C2/m (No. 12)
Asymmetric unit:
Pm (0.0000, 0.0000, 0.0000) [2 per cell]
Zn (0.2082, 0.5000, 0.7259) [4 per cell]
Cl (0.1206, 0.0000, 0.2270) [4 per cell]
Cl (0.1270, 0.5000, 0.9035) [4 per cell]
Cl (0.1505, 0.0000, 0.6131) [4 per cell]

Computed properties:
Formation energy (no corrections) = -1395.7 meV/atom